A geometry-optimized Co3RuO structure, computed with GGA+U.

Cell lengths 3.8905, 3.8905, 3.8905 Å; angles 90.00, 90.00, 90.00 degrees
With the nearest neighbours (Å) after each atom.
Space group Pm-3m (No. 221)
Asymmetric unit:
Co 0.0000 0.0000 0.5000 (multiplicity 3)  2 O 1.95
Ru 0.5000 0.5000 0.5000 (multiplicity 1)  12 Co 2.75
O 0.0000 0.0000 0.0000 (multiplicity 1)  6 Co 1.95

- Offset from the most stable computed form: 0.000 eV per atom
- Size of the total moment: 7.3 μB per formula unit
- E: -28.0 eV for the cell shown
- V: 59 Å³ per cell
- Density of states at the Fermi level: 0.3305 states/eV per atom